1.
Material: Be2CrAg
Method: DFT, PBE-GGA
State: optimized geometry

Unit cell a=2.590 b=2.590 c=6.924 alpha=90.00 beta=90.00 gamma=95.71
Element x y z (fractional)
Cr  0.500  0.500  0.250
Ag  0.500  0.500  0.750
Be  0.000  0.000  0.017
Be  0.000  0.000  0.483

Results
* magnetization: 0.000 μB/f.u.
* raw total energy: -4.76 eV per atom
* energy of formation from the pure elements: 221.6 meV/atom
* distance to the lowest polymorph of the same formula: 10 meV/atom
* SG: Cmmm

---

2.
Material: LaTcRh2N
Method: DFT, PBE-GGA
State: optimized geometry

Unit cell a=4.532 b=4.532 c=5.865 alpha=90.00 beta=90.00 gamma=90.00
Element x y z (fractional)
N  0.500  0.500  0.500
Rh  0.000  0.500  0.000
Rh  0.500  0.000  0.000
Tc  0.000  0.000  0.000
La  0.000  0.000  0.500

Results
* magnetization: 1.265 μB/f.u.
* raw total energy: -6.30 eV per atom
* uncorrected formation energy: 1.36 eV per atom
* SG: P4/mmm

---

3.
Material: Nd5YEr3
Method: DFT, PBE-GGA
State: optimized geometry

Unit cell a=9.628 b=9.628 c=11.789 alpha=52.81 beta=52.81 gamma=74.93
Element x y z (fractional)
Nd  0.848  0.342  0.261
Nd  0.254  0.746  0.000
Nd  0.822  0.822  0.953
Nd  0.492  0.492  0.237
Nd  0.508  0.508  0.763
Nd  0.178  0.178  0.047
Nd  0.342  0.848  0.261
Nd  0.746  0.254  0.000
Nd  0.152  0.658  0.739
Nd  0.658  0.152  0.739
Y  0.157  0.157  0.591
Y  0.843  0.843  0.409
Er  0.682  0.682  0.826
Er  0.662  0.662  0.352
Er  0.000  0.000  0.000
Er  0.000  0.000  0.500
Er  0.318  0.318  0.174
Er  0.338  0.338  0.648

Results
* magnetization: 0.000 μB/f.u.
* raw total energy: -4.41 eV per atom
* energy of formation from the pure elements: 478.9 meV/atom
* SG: C2/m

---

4.
Material: CaTeMo2
Method: DFT, PBE-GGA
State: optimized geometry

Unit cell a=4.143 b=3.370 c=6.611 alpha=90.01 beta=90.00 gamma=90.00
Element x y z (fractional)
Mo  0.000  0.875  0.133
Mo  0.500  0.375  0.160
Te  0.000  0.375  0.466
Ca  0.500  0.875  0.741

Results
* magnetization: 0.165 μB/f.u.
* raw total energy: -6.46 eV per atom
* uncorrected formation energy: 0.24 eV per atom
* SG: Pmm2